A plane-wave DFT calculation with PBE was carried out for a relaxed structure of AcPaAsN2.

```
AcPaAsN2
1.0
3.966 0.000 0.000
0.000 3.966 0.000
-1.983 -1.983 6.694
Ac Pa As N
1 1 1 2
Cartesian
1.983 1.983 4.716 Ac
0.000 0.000 2.200 Pa
1.983 1.983 0.160 As
1.983 0.000 3.156 N
0.000 1.983 3.156 N
```

Calculated values
**VASP energy**: -8.2947 eV/atom


A plane-wave DFT calculation with PBE was carried out for a relaxed structure of Ac2PaAs2N2.

```
Ac2PaAs2N2
1.0
4.464 0.000 0.000
0.000 4.464 0.000
-2.232 -2.232 8.163
Ac Pa As N
2 1 2 2
Cartesian
0.000 0.000 6.103 Ac
2.232 2.232 2.059 Ac
0.000 0.000 0.000 Pa
0.000 0.000 2.944 As
2.232 2.232 5.218 As
0.000 2.232 0.000 N
2.232 0.000 0.000 N
```

Calculated values
**VASP energy**: -7.5674 eV/atom


A plane-wave DFT calculation with PBE was carried out for a relaxed structure of AcPa2AsN5.

```
AcPa2AsN5
1.0
-4.669 0.525 3.773
3.650 -2.638 4.884
2.077 6.070 1.726
Ac Pa As N
2 4 2 10
Cartesian
2.864 1.716 3.305 Ac
0.000 0.000 0.000 Ac
0.471 -0.469 5.460 Pa
-1.027 1.807 3.290 Pa
2.085 2.149 7.094 Pa
0.587 4.426 4.924 Pa
1.039 3.035 0.863 As
1.825 -1.319 2.442 As
0.529 1.978 5.192 N
-2.335 0.262 1.886 N
0.686 3.695 2.859 N
2.593 0.012 5.730 N
0.361 0.144 2.950 N
2.918 3.563 5.639 N
-1.535 3.945 4.654 N
0.697 3.812 7.433 N
0.372 0.261 7.525 N
-1.860 0.394 4.745 N
```

Calculated values
**VASP energy**: -8.7628 eV/atom


A plane-wave DFT calculation with PBE was carried out for a relaxed structure of Ac4AsPb2N2.

```
Ac4AsPb2N2
1.0
4.440 0.000 0.000
0.000 9.588 -0.426
-2.220 -4.164 7.624
Ac As Pb N
4 1 2 2
Cartesian
0.000 -0.599 3.345 Ac
2.220 6.023 3.852 Ac
2.220 7.417 -0.035 Ac
0.000 -1.992 7.232 Ac
0.000 0.000 0.000 As
0.000 4.580 1.255 Pb
2.220 0.844 5.943 Pb
2.220 7.895 2.267 N
0.000 -2.470 4.930 N
```

Calculated values
**VASP energy**: -5.9350 eV/atom


A plane-wave DFT calculation with PBE was carried out for a relaxed structure of Ac5AsPb2N.

```
Ac5AsPb2N
1.0
-3.189 -3.359 0.510
3.147 1.678 9.443
-9.962 9.700 1.596
Ac As Pb N
10 2 4 2
Cartesian
0.999 0.091 6.843 Ac
-9.771 6.809 5.034 Ac
-6.219 7.556 10.874 Ac
-5.839 6.579 6.818 Ac
-5.217 3.248 10.055 Ac
-6.210 3.262 3.939 Ac
-2.726 3.638 6.915 Ac
-4.364 1.028 0.768 Ac
-2.736 0.050 4.503 Ac
0.033 0.078 0.722 Ac
-5.876 3.406 6.975 As
0.369 0.235 3.854 As
-8.707 6.365 8.764 Pb
-6.503 6.680 3.328 Pb
-2.879 3.195 3.039 Pb
-2.278 0.150 8.025 Pb
-10.719 7.355 2.704 N
-2.899 4.183 9.424 N
```

Calculated values
**VASP energy**: -5.3981 eV/atom


A plane-wave DFT calculation with PBE was carried out for a relaxed structure of Ac3AsPbN.

```
Ac3AsPbN
1.0
-3.424 -0.735 -2.603
-3.744 -6.470 6.750
-4.040 8.962 2.786
Ac As Pb N
6 2 2 2
Cartesian
-5.948 -1.329 6.370 Ac
-6.540 -4.868 4.489 Ac
-4.841 -1.917 1.422 Ac
-5.261 3.086 0.563 Ac
-6.367 3.675 5.510 Ac
-4.669 6.626 2.443 Ac
-3.923 -3.072 4.198 As
-7.285 4.830 2.734 As
-8.756 1.176 5.700 Pb
-2.452 0.581 1.232 Pb
-3.608 4.703 1.590 N
-7.600 -2.945 5.342 N
```

Calculated values
**VASP energy**: -5.8104 eV/atom


A plane-wave DFT calculation with PBE was carried out for a relaxed structure of Ac2Pr4As3N2.

```
Ac2Pr4As3N2
1.0
4.803 0.000 0.000
0.000 4.803 0.000
-2.401 -2.401 12.801
Ac Pr As N
2 4 3 2
Cartesian
0.000 0.000 7.811 Ac
2.401 2.401 4.990 Ac
0.000 2.401 10.818 Pr
2.401 0.000 10.818 Pr
0.000 2.401 1.983 Pr
2.401 0.000 1.983 Pr
0.000 0.000 0.000 As
0.000 0.000 4.421 As
2.401 2.401 8.380 As
0.000 0.000 10.223 N
2.401 2.401 2.578 N
```

Calculated values
**VASP energy**: -6.4736 eV/atom


A plane-wave DFT calculation with PBE was carried out for a relaxed structure of Ac4Pr2As3N2.

```
Ac4Pr2As3N2
1.0
-1.898 -4.286 -1.631
2.818 -2.482 3.245
-9.729 4.190 7.861
Ac Pr As N
4 2 3 2
Cartesian
-6.335 -0.567 8.864 Ac
-8.693 -1.469 6.427 Ac
-0.115 -1.109 3.048 Ac
-2.473 -2.010 0.610 Ac
-5.557 0.483 5.197 Pr
-3.251 -3.061 4.278 Pr
0.000 0.000 0.000 As
-3.289 0.286 3.075 As
-5.519 -2.864 6.399 As
-7.230 0.629 6.762 N
-1.578 -3.207 2.713 N
```

Calculated values
**VASP energy**: -6.2038 eV/atom


A plane-wave DFT calculation with PBE was carried out for a relaxed structure of Ac8As3S3N.

```
Ac8As3S3N
1.0
-0.220 8.366 -2.634
-5.173 -5.948 -3.849
-1.600 2.544 8.216
Ac As S N
8 3 3 1
Cartesian
-3.064 -0.241 -0.509 Ac
-3.929 5.202 2.241 Ac
-3.426 3.920 -1.874 Ac
-3.567 1.041 3.606 Ac
-0.621 7.144 0.213 Ac
-6.372 -2.183 1.520 Ac
-0.502 2.610 1.640 Ac
-6.491 2.351 0.092 Ac
0.000 0.000 0.000 As
-2.587 -2.974 -1.925 As
-2.697 1.209 -3.241 As
-0.910 5.455 2.791 S
-3.497 2.481 0.866 S
-3.386 -1.702 2.183 S
-0.800 1.272 4.108 N
```

Calculated values
**VASP energy**: -5.9937 eV/atom


A plane-wave DFT calculation with PBE was carried out for a relaxed structure of Ac4AsS2N2.

```
Ac4AsS2N2
1.0
4.088 0.000 0.000
-2.044 8.407 -0.809
0.000 -3.645 7.822
Ac As S N
4 1 2 2
Cartesian
2.044 1.515 6.104 Ac
0.000 3.247 0.909 Ac
0.000 7.173 1.290 Ac
2.044 -2.411 5.723 Ac
0.000 0.000 0.000 As
2.044 4.857 2.807 S
0.000 -0.094 4.205 S
0.000 5.386 -0.273 N
2.044 -0.624 7.286 N
```

Calculated values
**VASP energy**: -6.5645 eV/atom


A plane-wave DFT calculation with PBE was carried out for a relaxed structure of Ac8As3S4N.

```
Ac8As3S4N
1.0
-7.837 -0.125 3.859
-3.331 -4.172 -6.899
6.962 -3.266 4.145
Ac As S N
8 3 4 1
Cartesian
-4.278 -3.108 -4.168 Ac
-1.023 -4.642 -2.227 Ac
0.694 -2.684 1.323 Ac
-8.453 -3.174 -2.112 Ac
4.247 -4.389 3.216 Ac
-4.899 -4.879 -0.219 Ac
-3.183 -2.921 3.331 Ac
0.073 -4.455 5.272 Ac
-5.584 -2.148 -1.520 As
-2.103 -3.782 0.552 As
1.816 -3.719 -1.377 As
-3.918 -0.062 1.929 S
-0.437 -1.695 4.002 S
0.000 0.000 0.000 S
3.481 -1.633 2.072 S
-1.665 -2.086 -3.449 N
```

Calculated values
**VASP energy**: -6.1525 eV/atom


A plane-wave DFT calculation with PBE was carried out for a relaxed structure of Ac4SbAs2N.

```
Ac4SbAs2N
1.0
4.512 0.000 0.000
-2.256 7.565 0.000
0.000 0.000 15.624
Ac Sb As N
8 2 4 2
Cartesian
0.000 3.939 2.022 Ac
2.256 3.625 9.834 Ac
2.256 3.625 13.602 Ac
0.000 3.939 5.790 Ac
0.000 0.000 7.812 Ac
0.000 0.000 0.000 Ac
0.000 6.444 11.718 Ac
2.256 1.121 3.906 Ac
0.000 1.618 11.718 Sb
2.256 5.947 3.906 Sb
0.000 5.561 8.620 As
2.256 2.004 0.808 As
2.256 2.004 7.004 As
0.000 5.561 14.816 As
2.256 5.129 11.718 N
0.000 2.435 3.906 N
```

Calculated values
**VASP energy**: -6.0483 eV/atom